No. 1
DFT (PBE-GGA) results for a geometry-optimized MnZnTe2 structure.

The structure in CIF format:
```
data_MnZnTe2
_chemical_formula_sum 'Mn1 Zn1 Te2'
_cell_length_a 3.8499
_cell_length_b 3.9119
_cell_length_c 8.3126
_cell_angle_alpha 90.00
_cell_angle_beta 90.00
_cell_angle_gamma 90.00
_symmetry_space_group_name_H-M 'P m m m'
_symmetry_Int_Tables_number 47
_symmetry_space_group_name_Hall '-P 2 2'
loop_
_atom_site_label
_atom_site_type_symbol
_atom_site_fract_x
_atom_site_fract_y
_atom_site_fract_z
_atom_site_occupancy
Mn1 Mn 0.0000 0.0000 0.0000 1
Zn1 Zn 0.0000 0.5000 0.5000 1
Te1 Te 0.5000 0.0000 0.5000 1
Te2 Te 0.5000 0.5000 0.0000 1
```

***

No. 2
DFT (PBE-GGA) results for a geometry-optimized Zr6MnTe2 structure.

The structure in CIF format:
```
data_Zr6MnTe2
_chemical_formula_sum 'Zr6 Mn1 Te2'
_cell_length_a 7.8615
_cell_length_b 7.8615
_cell_length_c 3.5975
_cell_angle_alpha 90.00
_cell_angle_beta 90.00
_cell_angle_gamma 120.00
_symmetry_space_group_name_H-M 'P -6 2 m'
_symmetry_Int_Tables_number 189
_symmetry_space_group_name_Hall 'P -6 -2'
loop_
_atom_site_label
_atom_site_type_symbol
_atom_site_fract_x
_atom_site_fract_y
_atom_site_fract_z
_atom_site_occupancy
Zr1 Zr 0.0000 0.2421 0.0000 1
Zr2 Zr 0.0000 0.6003 0.5000 1
Mn1 Mn 0.0000 0.0000 0.5000 1
Te1 Te 0.3333 0.6667 0.0000 1
```

***

No. 3
DFT (PBE-GGA) results for a geometry-optimized Zr3MnTe structure.

The structure in CIF format:
```
data_Zr3MnTe
_chemical_formula_sum 'Zr3 Mn1 Te1'
_cell_length_a 5.2080
_cell_length_b 5.2080
_cell_length_c 5.2080
_cell_angle_alpha 90.00
_cell_angle_beta 90.00
_cell_angle_gamma 90.00
_symmetry_space_group_name_H-M 'P m -3 m'
_symmetry_Int_Tables_number 221
_symmetry_space_group_name_Hall '-P 4 2 3'
loop_
_atom_site_label
_atom_site_type_symbol
_atom_site_fract_x
_atom_site_fract_y
_atom_site_fract_z
_atom_site_occupancy
Zr1 Zr 0.0000 0.0000 0.5000 1
Mn1 Mn 0.5000 0.5000 0.5000 1
Te1 Te 0.0000 0.0000 0.0000 1
```

## Properties
* polymorph energy (0 for the lowest one): 1186.6 meV/atom

***

No. 4
DFT (PBE-GGA) results for a geometry-optimized ZrMn4Te structure.

The structure in CIF format:
```
data_ZrMn4Te
_chemical_formula_sum 'Zr4 Mn16 Te4'
_cell_length_a 7.0405
_cell_length_b 7.0405
_cell_length_c 7.0405
_cell_angle_alpha 90.00
_cell_angle_beta 90.00
_cell_angle_gamma 90.00
_symmetry_space_group_name_H-M 'F -4 3 m'
_symmetry_Int_Tables_number 216
_symmetry_space_group_name_Hall 'F -4 2 3'
loop_
_atom_site_label
_atom_site_type_symbol
_atom_site_fract_x
_atom_site_fract_y
_atom_site_fract_z
_atom_site_occupancy
Zr1 Zr 0.0000 0.0000 0.0000 1
Mn1 Mn 0.1246 0.1246 0.6246 1
Te1 Te 0.2500 0.2500 0.2500 1
```

***

No. 5
DFT (PBE-GGA) results for a geometry-optimized Zr4Mn2Te9 structure.

The structure in CIF format:
```
data_Zr4Mn2Te9
_chemical_formula_sum 'Zr8 Mn4 Te18'
_cell_length_a 7.1391
_cell_length_b 7.1391
_cell_length_c 19.8540
_cell_angle_alpha 90.00
_cell_angle_beta 90.00
_cell_angle_gamma 120.00
_symmetry_space_group_name_H-M 'P -3 c 1'
_symmetry_Int_Tables_number 165
_symmetry_space_group_name_Hall '-P 3 2"c'
loop_
_atom_site_label
_atom_site_type_symbol
_atom_site_fract_x
_atom_site_fract_y
_atom_site_fract_z
_atom_site_occupancy
Zr1 Zr 0.3333 0.6667 0.3315 1
Zr2 Zr 0.3333 0.6667 0.4970 1
Mn1 Mn 0.0000 0.0000 0.1666 1
Te1 Te 0.0000 0.3259 0.2500 1
Te2 Te 0.0067 0.3361 0.5861 1
```

***

No. 6
DFT (PBE-GGA) results for a geometry-optimized Zr3MnTe6 structure.

The structure in CIF format:
```
data_Zr3MnTe6
_chemical_formula_sum 'Zr18 Mn6 Te36'
_cell_length_a 11.5386
_cell_length_b 11.5386
_cell_length_c 15.0488
_cell_angle_alpha 90.00
_cell_angle_beta 90.00
_cell_angle_gamma 120.00
_symmetry_space_group_name_H-M 'R -3'
_symmetry_Int_Tables_number 148
_symmetry_space_group_name_Hall '-R 3'
loop_
_atom_site_label
_atom_site_type_symbol
_atom_site_fract_x
_atom_site_fract_y
_atom_site_fract_z
_atom_site_occupancy
Zr1 Zr 0.0298 0.4483 0.3795 1
Mn1 Mn 0.0000 0.0000 0.0000 1
Mn2 Mn 0.0000 0.0000 0.5000 1
Te1 Te 0.0219 0.8157 0.1166 1
Te2 Te 0.0371 0.1940 0.3722 1
```

***

No. 7
DFT (PBE-GGA) results for a geometry-optimized Zr2Mn2Te structure.

The structure in CIF format:
```
data_Zr2Mn2Te
_chemical_formula_sum 'Zr4 Mn4 Te2'
_cell_length_a 7.8011
_cell_length_b 7.8011
_cell_length_c 3.2323
_cell_angle_alpha 90.00
_cell_angle_beta 90.00
_cell_angle_gamma 90.00
_symmetry_space_group_name_H-M 'P 4/m b m'
_symmetry_Int_Tables_number 127
_symmetry_space_group_name_Hall '-P 4 2ab'
loop_
_atom_site_label
_atom_site_type_symbol
_atom_site_fract_x
_atom_site_fract_y
_atom_site_fract_z
_atom_site_occupancy
Zr1 Zr 0.1818 0.3182 0.0000 1
Mn1 Mn 0.0904 0.5904 0.5000 1
Te1 Te 0.0000 0.0000 0.0000 1
```

## Properties
* polymorph energy (0 for the lowest one): 256.6 meV/atom

***

No. 8
DFT (PBE-GGA) results for a geometry-optimized Zr2MnTe6 structure.

The structure in CIF format:
```
data_Zr2MnTe6
_chemical_formula_sum 'Zr4 Mn2 Te12'
_cell_length_a 7.0073
_cell_length_b 7.4157
_cell_length_c 11.4400
_cell_angle_alpha 90.00
_cell_angle_beta 125.75
_cell_angle_gamma 90.00
_symmetry_space_group_name_H-M 'P 1 21/c 1'
_symmetry_Int_Tables_number 14
_symmetry_space_group_name_Hall '-P 2ybc'
loop_
_atom_site_label
_atom_site_type_symbol
_atom_site_fract_x
_atom_site_fract_y
_atom_site_fract_z
_atom_site_occupancy
Zr1 Zr 0.2213 0.1474 0.2508 1
Mn1 Mn 0.0000 0.0000 0.5000 1
Te1 Te 0.0867 0.1662 0.9310 1
Te2 Te 0.2698 0.6681 0.9304 1
Te3 Te 0.4101 0.0058 0.7622 1
```

## Properties
* polymorph energy (0 for the lowest one): 72.9 meV/atom

***

No. 9
DFT (PBE-GGA) results for a geometry-optimized Zr3MnTe structure.

The structure in CIF format:
```
data_Zr3MnTe
_chemical_formula_sum 'Zr3 Mn1 Te1'
_cell_length_a 4.8391
_cell_length_b 4.8391
_cell_length_c 4.8391
_cell_angle_alpha 90.00
_cell_angle_beta 90.00
_cell_angle_gamma 90.00
_symmetry_space_group_name_H-M 'P m -3 m'
_symmetry_Int_Tables_number 221
_symmetry_space_group_name_Hall '-P 4 2 3'
loop_
_atom_site_label
_atom_site_type_symbol
_atom_site_fract_x
_atom_site_fract_y
_atom_site_fract_z
_atom_site_occupancy
Zr1 Zr 0.0000 0.0000 0.5000 1
Mn1 Mn 0.0000 0.0000 0.0000 1
Te1 Te 0.5000 0.5000 0.5000 1
```

## Properties
* polymorph energy (0 for the lowest one): 0.0 meV/atom

***

No. 10
DFT (PBE-GGA) results for a geometry-optimized ZrMn2Te5 structure.

The structure in CIF format:
```
data_ZrMn2Te5
_chemical_formula_sum 'Zr2 Mn4 Te10'
_cell_length_a 5.9137
_cell_length_b 13.2463
_cell_length_c 6.7735
_cell_angle_alpha 90.00
_cell_angle_beta 92.93
_cell_angle_gamma 90.00
_symmetry_space_group_name_H-M 'C 1 2/m 1'
_symmetry_Int_Tables_number 12
_symmetry_space_group_name_Hall '-C 2y'
loop_
_atom_site_label
_atom_site_type_symbol
_atom_site_fract_x
_atom_site_fract_y
_atom_site_fract_z
_atom_site_occupancy
Zr1 Zr 0.0000 0.0000 0.0000 1
Mn1 Mn 0.0000 0.2907 0.0000 1
Te1 Te 0.0000 0.5000 0.0000 1
Te2 Te 0.1726 0.1618 0.2696 1
```

***

No. 11
DFT (PBE-GGA) results for a geometry-optimized Zr2Mn2Te structure.

The structure in CIF format:
```
data_Zr2Mn2Te
_chemical_formula_sum 'Zr4 Mn4 Te2'
_cell_length_a 3.3880
_cell_length_b 3.3880
_cell_length_c 16.3073
_cell_angle_alpha 90.00
_cell_angle_beta 90.00
_cell_angle_gamma 90.00
_symmetry_space_group_name_H-M 'I 4/m m m'
_symmetry_Int_Tables_number 139
_symmetry_space_group_name_Hall '-I 4 2'
loop_
_atom_site_label
_atom_site_type_symbol
_atom_site_fract_x
_atom_site_fract_y
_atom_site_fract_z
_atom_site_occupancy
Zr1 Zr 0.0000 0.0000 0.1165 1
Mn1 Mn 0.0000 0.5000 0.2500 1
Te1 Te 0.0000 0.0000 0.5000 1
```

## Properties
* polymorph energy (0 for the lowest one): 0.0 meV/atom

***

No. 12
DFT (PBE-GGA) results for a geometry-optimized Zr2MnTe6 structure.

The structure in CIF format:
```
data_Zr2MnTe6
_chemical_formula_sum 'Zr4 Mn2 Te12'
_cell_length_a 15.7537
_cell_length_b 3.9108
_cell_length_c 9.6042
_cell_angle_alpha 90.00
_cell_angle_beta 110.41
_cell_angle_gamma 90.00
_symmetry_space_group_name_H-M 'C 1 2/m 1'
_symmetry_Int_Tables_number 12
_symmetry_space_group_name_Hall '-C 2y'
loop_
_atom_site_label
_atom_site_type_symbol
_atom_site_fract_x
_atom_site_fract_y
_atom_site_fract_z
_atom_site_occupancy
Zr1 Zr 0.1642 0.0000 0.3340 1
Mn1 Mn 0.0000 0.5000 0.0000 1
Te1 Te 0.0289 0.0000 0.8229 1
Te2 Te 0.1372 0.5000 0.5402 1
Te3 Te 0.1849 0.5000 0.1250 1
```

## Properties
* polymorph energy (0 for the lowest one): 0.0 meV/atom

***

What are the E_form (uncorrected) values for these records? In order: 123, -482, 1255, 97, -612, -566, 248, -551, 68, -176, -8, -624 meV/atom.
What are the Fermi-level density of states values for these records? In order: 0.325, 1.190, 1.350, 1.262, 0.423, 0.482, 0.920, 0.336, 0.759, 0.476, 1.466, 0.373 states/eV/atom.
What are the ρ values for these records? In order: 4.98, 7.39, 5.36, 8.35, 6.15, 6.28, 7.09, 6.90, 6.69, 5.26, 7.45, 6.01 g/cm3.